1.
{"formula": "LiAlVO4", "functional": "PBEsol", "state": "relaxed", "cell": [[-1.8261, 4.6596, 0.9793], [-3.4379, -2.3215, 3.8794], [6.5569, -0.5864, 3.4469]], "species": ["Li", "Li", "Li", "Al", "Al", "Al", "V", "V", "V", "O", "O", "O", "O", "O", "O", "O", "O", "O", "O", "O", "O"], "frac_coords": [[0.0051, 0.5153, 0.9952], [0.9978, 0.3426, 0.3398], [0.9846, 0.1558, 0.6648], [0.5292, 0.5801, 0.3426], [0.5069, 0.4115, 0.6672], [0.5052, 0.2612, 0.9993], [0.5093, 0.7636, 0.9989], [0.4652, 0.0678, 0.3185], [0.4848, 0.9029, 0.6669], [0.7033, 0.0553, 0.1551], [0.7162, 0.5416, 0.1583], [0.7015, 0.8861, 0.4898], [0.7100, 0.3627, 0.4883], [0.7157, 0.7027, 0.8242], [0.7080, 0.2124, 0.8203], [0.2938, 0.2967, 0.1814], [0.2939, 0.7717, 0.1804], [0.3074, 0.6151, 0.5113], [0.2786, 0.1311, 0.5110], [0.2965, 0.4581, 0.8457], [0.2901, 0.9725, 0.8460]], "density_g_cm3": 3.69, "de_polymorph_mev_per_atom": 52, "spacegroup": "No. 1", "total_energy_ev_per_atom": -7.7604, "e_form_raw_ev_per_atom": -2.519}

***

2.
{"formula": "Li3Al2VO6", "functional": "PBEsol", "state": "relaxed", "cell": [[-4.5213, -1.4469, -2.3230], [-0.8235, -3.9168, 4.1498], [-2.8776, 5.5758, 4.4954]], "species": ["Li", "Li", "Li", "Li", "Li", "Li", "Al", "Al", "Al", "Al", "V", "V", "O", "O", "O", "O", "O", "O", "O", "O", "O", "O", "O", "O"], "frac_coords": [[0.1756, 0.8429, 0.0917], [0.8244, 0.1571, 0.9083], [0.3498, 0.6597, 0.4204], [0.6502, 0.3403, 0.5796], [0.5047, 0.8309, 0.7474], [0.4953, 0.1691, 0.2526], [0.1812, 0.1665, 0.5882], [0.8188, 0.8335, 0.4118], [0.6549, 0.6724, 0.0770], [0.3451, 0.3276, 0.9230], [0.9976, 0.6678, 0.7518], [0.0024, 0.3322, 0.2482], [0.9712, 0.6618, 0.2520], [0.0288, 0.3382, 0.7480], [0.1689, 0.1883, 0.0761], [0.8311, 0.8117, 0.9239], [0.1372, 0.8495, 0.5804], [0.8628, 0.1505, 0.4196], [0.3152, 0.3208, 0.4248], [0.6848, 0.6792, 0.5752], [0.5294, 0.8330, 0.2462], [0.4706, 0.1670, 0.7538], [0.3427, 0.6434, 0.9242], [0.6573, 0.3566, 0.0758]], "density_g_cm3": 3.16, "de_polymorph_mev_per_atom": 67, "spacegroup": "No. 2", "total_energy_ev_per_atom": -7.0934, "e_form_raw_ev_per_atom": -2.492}

***

3.
{"formula": "Li3Al2VO6", "functional": "PBEsol", "state": "relaxed", "cell": [[4.9374, -0.0072, 0.0054], [-2.4596, 4.2812, 0.0054], [-0.8348, -1.4399, 4.7277]], "species": ["Li", "Li", "Li", "Al", "Al", "O", "O", "O", "O", "O", "O", "V"], "frac_coords": [[0.5000, 0.5000, 0.0000], [0.8330, 0.1670, 0.0000], [0.1670, 0.8330, 0.0000], [0.6666, 0.3334, 0.5000], [0.3334, 0.6666, 0.5000], [0.2728, 0.2728, 0.2788], [0.7272, 0.7272, 0.7212], [0.0735, 0.4196, 0.7193], [0.4196, 0.0735, 0.7193], [0.5804, 0.9265, 0.2807], [0.9265, 0.5804, 0.2807], [0.0000, 0.0000, 0.5000]], "density_g_cm3": 3.68, "de_polymorph_mev_per_atom": 0, "spacegroup": "No. 12", "total_energy_ev_per_atom": -7.1602, "e_form_raw_ev_per_atom": -2.559}

***

4.
{"formula": "LiAlVO4", "functional": "PBEsol", "state": "relaxed", "cell": [[8.5847, -0.0006, -0.0009], [-2.5880, 8.1854, -0.0009], [-2.5880, -3.5323, 7.3839]], "species": ["Li", "Li", "Li", "Li", "Li", "Li", "Al", "Al", "Al", "Al", "Al", "Al", "V", "V", "V", "V", "V", "V", "O", "O", "O", "O", "O", "O", "O", "O", "O", "O", "O", "O", "O", "O", "O", "O", "O", "O", "O", "O", "O", "O", "O", "O"], "frac_coords": [[0.1029, 0.2714, 0.8733], [0.5625, 0.3937, 0.7891], [0.3937, 0.7891, 0.5625], [0.2714, 0.8733, 0.1029], [0.7891, 0.5625, 0.3937], [0.8733, 0.1029, 0.2714], [0.5391, 0.7683, 0.9456], [0.2352, 0.0552, 0.4657], [0.0552, 0.4657, 0.2352], [0.9456, 0.5391, 0.7683], [0.7683, 0.9456, 0.5391], [0.4657, 0.2352, 0.0552], [0.1299, 0.8975, 0.7230], [0.2012, 0.4342, 0.6107], [0.7230, 0.1299, 0.8975], [0.6107, 0.2012, 0.4342], [0.4342, 0.6107, 0.2012], [0.8975, 0.7230, 0.1299], [0.9935, 0.0179, 0.6913], [0.2939, 0.0102, 0.9549], [0.0831, 0.4240, 0.7487], [0.2496, 0.9231, 0.5885], [0.0467, 0.3587, 0.3817], [0.3763, 0.6620, 0.7169], [0.5885, 0.2496, 0.9231], [0.3083, 0.2847, 0.6083], [0.6687, 0.6438, 0.9740], [0.9549, 0.2939, 0.0102], [0.6438, 0.9740, 0.6687], [0.2847, 0.6083, 0.3083], [0.0179, 0.6913, 0.9935], [0.3817, 0.0467, 0.3587], [0.7169, 0.3763, 0.6620], [0.6620, 0.7169, 0.3763], [0.3587, 0.3817, 0.0467], [0.7487, 0.0831, 0.4240], [0.6083, 0.3083, 0.2847], [0.9740, 0.6687, 0.6438], [0.4240, 0.7487, 0.0831], [0.6913, 0.9935, 0.0179], [0.9231, 0.5885, 0.2496], [0.0102, 0.9549, 0.2939]], "density_g_cm3": 2.86, "de_polymorph_mev_per_atom": 84, "spacegroup": "No. 146", "total_energy_ev_per_atom": -7.7288, "e_form_raw_ev_per_atom": -2.487}

***

5.
{"formula": "LiAlVO4", "functional": "PBEsol", "state": "relaxed", "cell": [[5.4066, 0.0000, 0.0000], [-2.7033, 4.6823, 0.0000], [0.0000, 0.0000, 11.9833]], "species": ["Li", "Li", "Li", "Al", "Al", "Al", "V", "V", "V", "O", "O", "O", "O", "O", "O", "O", "O", "O", "O", "O", "O"], "frac_coords": [[0.0000, 0.0000, 0.1667], [0.0000, 0.0000, 0.8333], [0.0000, 0.0000, 0.5000], [0.5000, 0.0000, 0.1667], [0.5000, 0.5000, 0.5000], [0.0000, 0.5000, 0.8333], [0.5000, 0.0000, 0.6667], [0.5000, 0.5000, 0.0000], [0.0000, 0.5000, 0.3333], [0.1834, 0.7985, 0.2428], [0.2015, 0.8166, 0.7572], [0.6151, 0.7985, 0.0905], [0.6151, 0.8166, 0.5762], [0.2015, 0.3849, 0.9095], [0.1834, 0.3849, 0.4238], [0.7985, 0.6151, 0.9095], [0.8166, 0.6151, 0.4238], [0.3849, 0.2015, 0.0905], [0.3849, 0.1834, 0.5762], [0.8166, 0.2015, 0.2428], [0.7985, 0.1834, 0.7572]], "density_g_cm3": 2.44, "de_polymorph_mev_per_atom": 116, "spacegroup": "No. 180", "total_energy_ev_per_atom": -7.6969, "e_form_raw_ev_per_atom": -2.455}

***

6.
{"formula": "LiAlVO4", "functional": "PBEsol", "state": "relaxed", "cell": [[-2.3326, 1.5745, 0.1143], [-4.2764, -6.6994, 5.0129], [3.2671, 4.2277, 8.4371]], "species": ["Li", "Li", "Li", "Li", "Al", "Al", "Al", "Al", "V", "V", "V", "V", "O", "O", "O", "O", "O", "O", "O", "O", "O", "O", "O", "O", "O", "O", "O", "O"], "frac_coords": [[0.7500, 0.9039, 0.3642], [0.2500, 0.5961, 0.8642], [0.7500, 0.4039, 0.1358], [0.2500, 0.0961, 0.6358], [0.7500, 0.0037, 0.8761], [0.2500, 0.4963, 0.3761], [0.7500, 0.5037, 0.6239], [0.2500, 0.9963, 0.1239], [0.2500, 0.7824, 0.6467], [0.7500, 0.7176, 0.1467], [0.2500, 0.2824, 0.8533], [0.7500, 0.2176, 0.3533], [0.7500, 0.8947, 0.0338], [0.7500, 0.8612, 0.5501], [0.2500, 0.9203, 0.7819], [0.2500, 0.8324, 0.2401], [0.7500, 0.6676, 0.7401], [0.7500, 0.5797, 0.2819], [0.2500, 0.6388, 0.0501], [0.2500, 0.6053, 0.5338], [0.7500, 0.3947, 0.4662], [0.7500, 0.3612, 0.9499], [0.2500, 0.4203, 0.7181], [0.2500, 0.3324, 0.2599], [0.7500, 0.1676, 0.7599], [0.7500, 0.0797, 0.2181], [0.2500, 0.1388, 0.4499], [0.2500, 0.1053, 0.9662]], "density_g_cm3": 3.74, "de_polymorph_mev_per_atom": 0, "spacegroup": "No. 62", "total_energy_ev_per_atom": -7.8127, "e_form_raw_ev_per_atom": -2.571}